First-principles (PBE with a Hubbard U) data for a geometry-optimized MgSi4WO10 structure, as listed in Alexandria.

Properties
Electronic total energy   -7.439 eV/atom

Cell: 7.305 7.305 15.337 Å, 90.00 90.00 90.00°
Site moments in Bohr magnetons follow the coordinates.
Sites, in units of the cell vectors:
Mg: 0.500 0.500 0.500  0.00
Mg: 0.000 0.000 0.500  0.00
Mg: 0.000 0.000 0.000  0.00
Mg: 0.500 0.500 0.000  0.00
Si: 0.155 0.238 0.649  0.00
Si: 0.845 0.762 0.649  0.00
Si: 0.238 0.155 0.851  0.00
Si: 0.738 0.345 0.649  0.00
Si: 0.262 0.655 0.649  0.00
Si: 0.345 0.738 0.851  0.00
Si: 0.655 0.262 0.851  0.00
Si: 0.762 0.845 0.851  0.00
Si: 0.345 0.262 0.351  0.00
Si: 0.655 0.738 0.351  0.00
Si: 0.262 0.345 0.149  0.00
Si: 0.762 0.155 0.351  0.00
Si: 0.238 0.845 0.351  0.00
Si: 0.155 0.762 0.149  0.00
Si: 0.845 0.238 0.149  0.00
Si: 0.738 0.655 0.149  0.00
W: 0.500 0.000 0.576  1.91
W: 0.000 0.500 0.924  1.91
W: 0.000 0.500 0.424  1.91
W: 0.500 0.000 0.076  1.91
O: 0.226 0.091 0.576  0.00
O: 0.774 0.909 0.576  0.00
O: 0.091 0.226 0.924  0.00
O: 0.591 0.274 0.576  0.00
O: 0.409 0.726 0.576  0.00
O: 0.274 0.591 0.924  0.00
O: 0.726 0.409 0.924  0.00
O: 0.909 0.774 0.924  0.00
O: 0.274 0.409 0.424  0.00
O: 0.726 0.591 0.424  0.00
O: 0.409 0.274 0.076  0.00
O: 0.909 0.226 0.424  0.00
O: 0.091 0.774 0.424  0.00
O: 0.226 0.909 0.076  0.00
O: 0.774 0.091 0.076  0.00
O: 0.248 0.065 0.370  0.00
O: 0.591 0.726 0.076  0.00
O: 0.748 0.565 0.630  0.00
O: 0.435 0.252 0.870  0.00
O: 0.935 0.248 0.630  0.00
O: 0.065 0.752 0.630  0.00
O: 0.248 0.935 0.870  0.00
O: 0.752 0.065 0.870  0.00
O: 0.565 0.748 0.870  0.00
O: 0.681 0.681 0.250  0.00
O: 0.819 0.181 0.250  0.00
O: 0.181 0.819 0.250  0.00
O: 0.319 0.319 0.250  0.00
O: 0.819 0.819 0.750  0.00
O: 0.681 0.319 0.750  0.00
O: 0.319 0.681 0.750  0.00
O: 0.181 0.181 0.750  0.00
O: 0.935 0.752 0.130  0.00
O: 0.748 0.435 0.130  0.00
O: 0.252 0.565 0.130  0.00
O: 0.435 0.748 0.370  0.00
O: 0.565 0.252 0.370  0.00
O: 0.065 0.248 0.130  0.00
O: 0.752 0.935 0.370  0.00
O: 0.252 0.435 0.630  0.00